Compound: Y4Tl3Au
Source: Alexandria
Functional: PBE-GGA
Structure: relaxed

abc: 3.6265 3.6265 16.0984
angles: 90.00 90.00 90.00
Space group P4/mmm (No. 123)
Inequivalent atoms, fractional coordinates:
Y 0.0000 0.0000 0.1101 [2 per cell]
Y 0.0000 0.0000 0.3699 [2 per cell]
Tl 0.5000 0.5000 0.2409 [2 per cell]
Tl 0.5000 0.5000 0.5000 [1 per cell]
Au 0.5000 0.5000 0.0000 [1 per cell]

Results
Crystal system: tetragonal
VASP energy: -5.03 eV/atom



Compound: DyY2Ho6Th3
Source: Alexandria
Functional: PBE-GGA
Structure: relaxed

abc: 6.1659 10.6741 11.7007
angles: 90.00 100.13 90.00
Space group C2/m (No. 12)
Inequivalent atoms, fractional coordinates:
Dy 0.0000 0.0000 0.0000 [2 per cell]
Y 0.0000 0.3333 0.0000 [4 per cell]
Ho 0.2482 0.0000 0.7458 [4 per cell]
Ho 0.2491 0.3336 0.7459 [8 per cell]
Th 0.0000 0.1666 0.5000 [4 per cell]
Th 0.0000 0.5000 0.5000 [2 per cell]

Results
Crystal system: monoclinic
VASP energy: -5.58 eV/atom



Compound: MgTi
Source: Alexandria
Functional: PBE-GGA
Structure: relaxed

abc: 11.3232 2.9596 7.2259
angles: 90.00 104.88 90.00
Space group Cm (No. 8)
Inequivalent atoms, fractional coordinates:
Mg 0.0000 0.0000 0.0000 [2 per cell]
Mg 0.0587 0.0000 0.6018 [2 per cell]
Mg 0.3274 0.0000 0.6560 [2 per cell]
Ti 0.1767 0.5000 0.3185 [2 per cell]
Ti 0.2281 0.5000 0.9663 [2 per cell]
Ti 0.3767 0.0000 0.2627 [2 per cell]

Results
Crystal system: monoclinic
VASP energy: -4.64 eV/atom



Compound: Pr9DyEr2
Source: Alexandria
Functional: PBE-GGA
Structure: relaxed

abc: 5.1806 5.1806 15.5435
angles: 90.00 90.00 90.00
Space group P4/mmm (No. 123)
Inequivalent atoms, fractional coordinates:
Pr 0.0000 0.0000 0.0000 [1 per cell]
Pr 0.0000 0.0000 0.3336 [2 per cell]
Pr 0.0000 0.5000 0.1671 [4 per cell]
Pr 0.0000 0.5000 0.5000 [2 per cell]
Dy 0.5000 0.5000 0.0000 [1 per cell]
Er 0.5000 0.5000 0.3336 [2 per cell]

Results
Crystal system: tetragonal
VASP energy: -4.71 eV/atom



Compound: Ac2LaPuN4
Source: Alexandria
Functional: PBE-GGA
Structure: relaxed

abc: 3.7295 12.9513 13.1492
angles: 90.00 90.00 90.00
Space group Cmcm (No. 63)
Inequivalent atoms, fractional coordinates:
Ac 0.0000 0.1267 0.0381 [8 per cell]
La 0.0000 0.4073 0.2500 [4 per cell]
Pu 0.0000 0.3207 0.7500 [4 per cell]
N 0.0000 0.0680 0.2500 [4 per cell]
N 0.0000 0.2014 0.6375 [8 per cell]
N 0.0000 0.5000 0.0000 [4 per cell]

Results
Crystal system: orthorhombic
VASP energy: -8.52 eV/atom
Formation energy without anion corrections: -0.93 eV/atom



Compound: Ca2CdHg
Source: Alexandria
Functional: PBE-GGA
Structure: relaxed

abc: 4.1127 4.1127 26.0504
angles: 90.00 90.00 120.00
Space group R-3m (No. 166, hexagonal axes)
Inequivalent atoms, fractional coordinates:
Ca 0.0000 0.0000 0.2468 [6 per cell]
Cd 0.0000 0.0000 0.0000 [3 per cell]
Hg 0.0000 0.0000 0.5000 [3 per cell]

Results
Excess energy over the best structure of this formula in the dataset: 163 meV per atom
Crystal system: trigonal
VASP energy: -1.60 eV/atom



Compound: NaSb2TeO
Source: Alexandria
Functional: PBE-GGA
Structure: relaxed

abc: 5.5405 5.5405 4.0078
angles: 90.00 90.00 90.00
Space group P4/mmm (No. 123)
Inequivalent atoms, fractional coordinates:
Na 0.0000 0.0000 0.0000 [1 per cell]
Sb 0.0000 0.5000 0.0000 [2 per cell]
Te 0.5000 0.5000 0.5000 [1 per cell]
O 0.0000 0.0000 0.5000 [1 per cell]

Results
Excess energy over the best structure of this formula in the dataset: 605 meV per atom
Crystal system: tetragonal
VASP energy: -3.11 eV/atom
Formation energy without anion corrections: 0.42 eV/atom



Compound: K2ZrPt
Source: Alexandria
Functional: PBE-GGA
Structure: relaxed

abc: 4.1002 4.1002 6.1395
angles: 90.00 90.00 90.00
Space group P4/mmm (No. 123)
Inequivalent atoms, fractional coordinates:
K 0.0000 0.5000 0.0000 [2 per cell]
Zr 0.0000 0.0000 0.5000 [1 per cell]
Pt 0.5000 0.5000 0.5000 [1 per cell]

Results
Excess energy over the best structure of this formula in the dataset: 462 meV per atom
Crystal system: tetragonal
VASP energy: -3.84 eV/atom